Record 1
# Sr2CdGeH

A geometry-optimized Sr2CdGeH structure (PBE-GGA, Alexandria via LeMat-Bulk).

Structure (CIF):
```
data_Sr2CdGeH
_cell_length_a 5.150
_cell_length_b 5.150
_cell_length_c 4.500
_cell_angle_alpha 90.00
_cell_angle_beta 90.00
_cell_angle_gamma 90.00
_symmetry_space_group_name_H-M 'P 1'
_symmetry_Int_Tables_number 1
loop_
_symmetry_equiv_pos_as_xyz
'x,y,z'
loop_
_atom_site_label
_atom_site_fract_x
_atom_site_fract_y
_atom_site_fract_z
Ge1 0.500 0.500 0.500
Cd1 0.000 0.000 0.500
H1 0.000 0.000 0.000
Sr1 0.500 0.000 0.000
Sr2 0.000 0.500 0.000
```

***

Record 2
# SrZnTcO6

A geometry-optimized SrZnTcO6 structure (PBE-GGA, Alexandria via LeMat-Bulk).

Structure (CIF):
```
data_SrZnTcO6
_cell_length_a 5.252
_cell_length_b 5.463
_cell_length_c 5.262
_cell_angle_alpha 93.09
_cell_angle_beta 91.60
_cell_angle_gamma 58.66
_symmetry_space_group_name_H-M 'P 1'
_symmetry_Int_Tables_number 1
loop_
_symmetry_equiv_pos_as_xyz
'x,y,z'
loop_
_atom_site_label
_atom_site_fract_x
_atom_site_fract_y
_atom_site_fract_z
Tc1 0.359 0.321 0.500
Sr1 0.036 0.982 0.000
O1 0.594 0.365 0.733
O2 0.364 0.022 0.683
O3 0.364 0.614 0.317
O4 0.010 0.390 0.292
O5 0.594 0.041 0.268
O6 0.010 0.599 0.709
Zn1 0.667 0.666 0.500
```

Summary:
Energy relative to the elements, uncorrected in eV per atom: -1.514

***

Total energy, record by record: -2.7832; -6.3000 eV/atom